VASP calculation (PBE) on crystalline BaAg3S at its relaxed geometry.

The calculation puts the size of the total moment at 0.00 μB per atom. The value obtained for the formation energy without anion corrections is 0.2 eV/f.u. The value obtained for the relative energy among the computed polymorphs is 0.0 meV per atom.

The space group is Pm-3m (No. 221) and the conventional cell measures 5.129, 5.129 and 5.129 Å, with angles of 90.00, 90.00 and 90.00 degrees. Symmetry generates all atoms from Ba at (0.000, 0.000, 0.000), Ag at (0.000, 0.500, 0.500) and S at (0.500, 0.500, 0.500).

=====

VASP calculation (PBE) on crystalline BaAgSb2S4 at its relaxed geometry.

The calculation puts the size of the total moment at 0.00 μB per atom. The value obtained for the formation energy without anion corrections is -4.7 eV/f.u.

The space group is Cmcm (No. 63) and the conventional cell measures 4.412, 13.008 and 14.077 Å, with angles of 90.00, 90.00 and 90.00 degrees. Symmetry generates all atoms from Ba at (0.000, 0.128, 0.250), Ag at (0.000, 0.137, 0.750), Sb at (0.000, 0.376, 0.047), S at (0.000, 0.000, 0.000), S at (0.000, 0.268, 0.607) and S at (0.000, 0.452, 0.250).

=====

VASP calculation (PBE) on crystalline BaAgSbS3 at its relaxed geometry.

The calculation puts the size of the total moment at 0.00 μB per atom. The value obtained for the formation energy without anion corrections is -4.8 eV/f.u. The value obtained for the relative energy among the computed polymorphs is 65.9 meV per atom.

The space group is P2_1/m (No. 11) and the conventional cell measures 8.440, 4.156 and 9.262 Å, with angles of 90.00, 105.84 and 90.00 degrees. Symmetry generates all atoms from Ba at (0.205, 0.250, 0.252), Ag at (0.095, 0.250, 0.594), Sb at (0.324, 0.750, 0.852), S at (0.112, 0.250, 0.880), S at (0.244, 0.750, 0.519) and S at (0.447, 0.750, 0.147).